No. 1
CeB4Mo3O12 PBE with a Hubbard U optimized geometry; VASP energy = -7.975 eV per atom; SG = R32 (155); Fermi-level density of states = 5.1 states/eV per cell; volume = 234.6 Å³/f.u.
1.0
-4.4908 3.8704 -2.3100
-0.9110 -5.3582 -3.3081
-2.2468 -1.4947 5.7621
Ce B Mo O
1 4 3 12
direct
0.0000 0.0000 0.0000
0.9488 0.0512 0.5000
0.0512 0.5000 0.9488
0.5000 0.9488 0.0512
0.5000 0.5000 0.5000
0.5491 0.4509 0.0000
0.4509 0.0000 0.5491
0.0000 0.5491 0.4509
0.5000 0.3609 0.6391
0.9110 0.5000 0.0890
0.0890 0.9110 0.5000
0.5000 0.0890 0.9110
0.3681 0.9667 0.1955
0.1955 0.3681 0.9667
0.9667 0.1955 0.3681
0.6319 0.8045 0.0333
0.0333 0.6319 0.8045
0.8045 0.0333 0.6319
0.6391 0.5000 0.3609
0.3609 0.6391 0.5000

No. 2
CeBMoO6 PBE with a Hubbard U optimized geometry; VASP energy = -7.863 eV per atom; SG = P2_1/c (14); Fermi-level density of states = 25.4 states/eV per cell; volume = 117.8 Å³/f.u.
1.0
-2.1779 -3.0614 1.8789
5.0705 1.8456 8.8849
-4.8879 8.1134 7.5538
Ce B Mo O
4 4 4 24
direct
0.1754 0.8017 0.0356
0.8246 0.1983 0.9644
0.3246 0.8017 0.5356
0.6754 0.1983 0.4644
0.8220 0.9975 0.3074
0.3220 0.0025 0.1926
0.6780 0.9975 0.8074
0.1780 0.0025 0.6926
0.7662 0.6461 0.3135
0.2338 0.3539 0.6865
0.2662 0.3539 0.1865
0.7338 0.6461 0.8135
0.7962 0.4558 0.8951
0.8144 0.7401 0.9048
0.3144 0.2599 0.5952
0.8172 0.7417 0.6423
0.1856 0.2599 0.0952
0.6462 0.0314 0.1988
0.6915 0.3340 0.2097
0.8538 0.0314 0.6988
0.2870 0.9985 0.5896
0.1828 0.2583 0.3577
0.3538 0.9686 0.8012
0.6856 0.7401 0.4048
0.1915 0.6660 0.2903
0.7130 0.0015 0.4104
0.8085 0.3340 0.7097
0.7870 0.0015 0.9104
0.7038 0.4558 0.3951
0.2038 0.5442 0.1049
0.1462 0.9686 0.3012
0.2130 0.9985 0.0896
0.3172 0.2583 0.8577
0.3085 0.6660 0.7903
0.6828 0.7417 0.1423
0.2962 0.5442 0.6049

- What is the formula in the first record?
  CeB4Mo3O12

- Number 2 is which compound?
  CeBMoO6

- What is the Fermi-level density of states in the second record?
  25.4 states/eV per cell

- VASP energy of number 1 (CeB4Mo3O12)?
  -7.975 eV per atom